(1)
An optimized crystal structure of Ce3ScPa2P6, computed with PBE.

Values from the calculation:
E in eV per atom: -7.728
Formation enthalpy at 0 K in eV per atom: -1.43
SG: C2/m (12)

Lattice parameters (Å, degrees): 6.9030 6.9030 6.9432 99.56 99.56 120.01
With the nearest neighbours (Å) after each atom.
Atoms (fractional coordinates):
Sc: 0.0000 0.0000 0.0000  6 P 2.74-2.75
Ce: 0.1676 0.8324 0.5000  6 P 2.86-2.90
Ce: 0.8324 0.1676 0.5000  6 P 2.86-2.90
Ce: 0.5000 0.5000 0.5000  6 P 2.87-2.90
P: 0.5935 0.9217 0.7644  1 Sc 2.74, 2 Pa 2.79, 3 Ce 2.87-2.90
P: 0.7515 0.7515 0.2379  1 Sc 2.75, 2 Pa 2.79, 3 Ce 2.86-2.90
P: 0.0783 0.4065 0.2356  1 Sc 2.74, 2 Pa 2.79, 3 Ce 2.87-2.90
P: 0.4065 0.0783 0.2356  1 Sc 2.74, 2 Pa 2.79, 3 Ce 2.87-2.90
P: 0.2485 0.2485 0.7621  1 Sc 2.75, 2 Pa 2.79, 3 Ce 2.86-2.90
P: 0.9217 0.5935 0.7644  1 Sc 2.74, 2 Pa 2.79, 3 Ce 2.87-2.90
Pa: 0.3338 0.6662 0.0000  6 P 2.79
Pa: 0.6662 0.3338 0.0000  6 P 2.79

(2)
An optimized crystal structure of AcBeCuGe2, computed with PBE.

Values from the calculation:
E in eV per atom: -4.629
Formation enthalpy at 0 K in eV per atom: -0.40
SG: I-4m2 (119)

Lattice parameters (Å, degrees): 4.2920 4.2920 5.9531 111.13 111.13 90.00
With the nearest neighbours (Å) after each atom.
Atoms (fractional coordinates):
Ge: 0.6306 0.6306 0.2612  2 Be 2.47, 2 Cu 2.47, 1 Ge 2.68
Ge: 0.3694 0.3694 0.7388  2 Be 2.47, 2 Cu 2.47, 1 Ge 2.68
Cu: 0.7500 0.2500 0.5000  4 Ge 2.47
Ac: 0.0000 0.0000 0.0000  8 Ge 3.32, 4 Be 3.34, 4 Cu 3.34
Be: 0.2500 0.7500 0.5000  4 Ge 2.47

(3)
An optimized crystal structure of YAs3Cl, computed with PBE.

Values from the calculation:
E in eV per atom: -4.021
Energy above the most stable polymorph in this dataset in eV/f.u.: 0.96
SG: Pm-3m (221)

Lattice parameters (Å, degrees): 5.4467 5.4467 5.4467 90.00 90.00 90.00
With the nearest neighbours (Å) after each atom.
Atoms (fractional coordinates):
As: 0.0000 0.0000 0.5000  2 Y 2.72
As: 0.5000 0.0000 0.0000  2 Y 2.72
As: 0.0000 0.5000 0.0000  2 Y 2.72
Cl: 0.5000 0.5000 0.5000  12 As 3.85
Y: 0.0000 0.0000 0.0000  6 As 2.72

(4)
An optimized crystal structure of Pm4BeSn2, computed with PBE.

Values from the calculation:
E in eV per atom: -4.646
Formation enthalpy at 0 K in eV per atom: -0.26
SG: I4/mmm (139)

Lattice parameters (Å, degrees): 5.0235 5.0235 9.1555 105.92 105.92 90.00
With the nearest neighbours (Å) after each atom.
Atoms (fractional coordinates):
Pm: 0.8254 0.8254 0.6508  1 Be 2.95, 1 Sn 3.20
Pm: 0.1746 0.1746 0.3492  1 Be 2.95, 1 Sn 3.20
Pm: 0.5000 0.0000 0.0000  2 Be 2.51
Pm: 0.0000 0.5000 0.0000  2 Be 2.51
Sn: 0.3641 0.3641 0.7282  5 Pm 3.20-3.40
Sn: 0.6359 0.6359 0.2718  5 Pm 3.20-3.40
Be: 0.0000 0.0000 0.0000  4 Pm 2.51

(5)
An optimized crystal structure of Ti2VPd2, computed with PBE.

Values from the calculation:
E in eV per atom: -7.364
Energy above the most stable polymorph in this dataset in eV/f.u.: 0.00
Formation enthalpy at 0 K in eV per atom: -0.30
SG: Cmmm (65)

Lattice parameters (Å, degrees): 3.0859 3.0621 8.6409 79.79 90.00 90.00
With the nearest neighbours (Å) after each atom.
Atoms (fractional coordinates):
Ti: 0.5000 0.4071 0.1857  4 Pd 2.64, 4 V 2.69
Ti: 0.5000 0.5929 0.8143  4 Pd 2.64, 4 V 2.69
V: 0.0000 0.0000 0.0000  8 Ti 2.69
Pd: 0.0000 0.8188 0.3623  4 Ti 2.64, 2 Pd 2.80
Pd: 0.0000 0.1812 0.6377  4 Ti 2.64, 2 Pd 2.80

(6)
An optimized crystal structure of KRb2NaHg6, computed with PBE.

Values from the calculation:
E in eV per atom: -0.669
Formation enthalpy at 0 K in eV per atom: -0.05
SG: Fm-3m (225)

Lattice parameters (Å, degrees): 8.6555 8.6554 8.6555 60.00 60.00 90.00
With the nearest neighbours (Å) after each atom.
Atoms (fractional coordinates):
Rb: 0.2500 0.7500 0.5000  12 Hg 4.33
Rb: 0.7500 0.2500 0.5000  12 Hg 4.33
Hg: 0.2636 0.2636 0.4729  1 Na 2.89, 1 K 3.23
Hg: 0.7365 0.2635 0.0000  1 Na 2.89, 1 K 3.23
Hg: 0.7364 0.7364 0.0000  1 Na 2.89, 1 K 3.23
Hg: 0.2635 0.7365 0.0000  1 Na 2.89, 1 K 3.23
Hg: 0.7364 0.7364 0.5271  1 Na 2.89, 1 K 3.23
Hg: 0.2636 0.2636 0.0000  1 Na 2.89, 1 K 3.23
Na: 0.5000 0.5000 0.0000  6 Hg 2.89
K: 0.0000 0.0000 0.0000  6 Hg 3.23

(7)
An optimized crystal structure of KCr2Mo, computed with PBE.

Values from the calculation:
E in eV per atom: -6.171
Energy above the most stable polymorph in this dataset in eV/f.u.: 3.33
Formation enthalpy at 0 K in eV per atom: 1.62
SG: Pmmm (47)

Lattice parameters (Å, degrees): 3.0857 5.2546 4.6106 90.00 90.00 90.00
With the nearest neighbours (Å) after each atom.
Atoms (fractional coordinates):
K: 0.5000 0.0000 0.5000  4 Cr 2.77, 4 Mo 3.05, 2 K 3.09
Cr: 0.0000 0.0000 0.0000  4 K 2.77, 6 Cr 3.05-3.09
Cr: 0.5000 0.5000 0.0000  4 Mo 2.77, 6 Cr 3.05-3.09
Mo: 0.0000 0.5000 0.5000  4 Cr 2.77, 4 K 3.05, 2 Mo 3.09

(8)
An optimized crystal structure of AcDyRuRh, computed with PBE.

Values from the calculation:
E in eV per atom: -6.692
Formation enthalpy at 0 K in eV per atom: -0.36
SG: F-43m (216)

Lattice parameters (Å, degrees): 5.0272 5.0272 5.0272 60.00 60.00 60.00
With the nearest neighbours (Å) after each atom.
Atoms (fractional coordinates):
Dy: 0.0000 0.0000 0.0000  4 Ru 3.08, 4 Rh 3.08
Rh: 0.2500 0.2500 0.2500  4 Ac 3.08, 4 Dy 3.08
Ru: 0.7500 0.7500 0.7500  4 Ac 3.08, 4 Dy 3.08
Ac: 0.5000 0.5000 0.5000  4 Ru 3.08, 4 Rh 3.08

(9)
An optimized crystal structure of GdBRh2, computed with PBE.

Values from the calculation:
E in eV per atom: -9.262
Formation enthalpy at 0 K in eV per atom: -0.40
SG: R-3m (166)

Lattice parameters (Å, degrees): 3.5917 3.5917 6.1602 73.05 73.05 60.00
With the nearest neighbours (Å) after each atom.
Atoms (fractional coordinates):
Rh: 0.2153 0.2153 0.3540  3 B 2.24
Rh: 0.7847 0.7847 0.6460  3 B 2.24
Gd: 0.0000 0.0000 0.0000  6 Rh 2.92
B: 0.5000 0.5000 0.5000  6 Rh 2.24

(10)
An optimized crystal structure of Ba3ZrCu2Se6, computed with PBE.

Values from the calculation:
E in eV per atom: -4.821
SG: P-3m1 (164)

Lattice parameters (Å, degrees): 7.6248 7.6248 8.2360 90.00 90.00 120.00
With the nearest neighbours (Å) after each atom.
Atoms (fractional coordinates):
Se: 0.6784 0.8392 0.2985  1 Cu 2.31
Se: 0.1608 0.8392 0.2985  1 Cu 2.31
Se: 0.8392 0.1608 0.7015  1 Cu 2.31
Se: 0.3216 0.1608 0.7015  1 Cu 2.31
Se: 0.8392 0.6784 0.7015  1 Cu 2.31
Se: 0.1608 0.3216 0.2985  1 Cu 2.31
Cu: 0.6667 0.3333 0.7512  3 Se 2.31
Cu: 0.3333 0.6667 0.2488  3 Se 2.31
Zr: 0.0000 0.0000 0.5000  6 Se 2.70
Ba: 0.6667 0.3333 0.3722  1 Cu 3.12
Ba: 0.3333 0.6667 0.6278  1 Cu 3.12
Ba: 0.0000 0.0000 0.0000  6 Se 3.25

(11)
An optimized crystal structure of Na3Cr2GaS6, computed with PBE.

Values from the calculation:
E in eV per atom: -5.159
SG: C2/m (12)

Lattice parameters (Å, degrees): 6.2505 6.2505 6.8455 98.77 98.77 120.00
With the nearest neighbours (Å) after each atom.
Atoms (fractional coordinates):
S: 0.9334 0.5934 0.8005  2 Cr 2.44, 1 Ga 2.49
S: 0.0666 0.4066 0.1995  2 Cr 2.44, 1 Ga 2.49
S: 0.5934 0.9334 0.8005  2 Cr 2.44, 1 Ga 2.49
S: 0.2733 0.2733 0.8000  2 Cr 2.44, 1 Ga 2.49
S: 0.7267 0.7267 0.2000  2 Cr 2.44, 1 Ga 2.49
S: 0.4066 0.0666 0.1995  2 Cr 2.44, 1 Ga 2.49
Na: 0.1658 0.8342 0.5000  6 S 2.84-2.88
Na: 0.8342 0.1658 0.5000  6 S 2.84-2.88
Na: 0.5000 0.5000 0.5000  6 S 2.83-2.87
Cr: 0.6668 0.3332 0.0000  6 S 2.44
Cr: 0.3332 0.6668 0.0000  6 S 2.44
Ga: 0.0000 0.0000 0.0000  6 S 2.49

(12)
An optimized crystal structure of Dy2Se2O, computed with PBE.

Values from the calculation:
E in eV per atom: -6.678
SG: Ibam (72)

Lattice parameters (Å, degrees): 5.7298 7.0829 7.0829 57.70 66.14 66.14
With the nearest neighbours (Å) after each atom.
Atoms (fractional coordinates):
Dy: 0.5991 0.1959 0.6060  2 O 2.28
Dy: 0.9009 0.3940 0.8041  2 O 2.28
Dy: 0.0991 0.6060 0.1959  2 O 2.28
Dy: 0.4009 0.8041 0.3940  2 O 2.28
Se: 0.8554 0.0035 0.2856  5 Dy 2.86-3.09
Se: 0.3554 0.2856 0.0035  5 Dy 2.86-3.09
Se: 0.1446 0.9965 0.7144  5 Dy 2.86-3.09
Se: 0.6446 0.7144 0.9965  5 Dy 2.86-3.09
O: 0.2500 0.5000 0.5000  4 Dy 2.28
O: 0.7500 0.5000 0.5000  4 Dy 2.28